Computed, not measured: an optimized crystal structure of ZrFeNO2 at the PBE+U level of DFT.

Space-group type: P4/mmm (123)
M_tot (μB per atom): 0.89
Electronic total energy (eV per atom): -7.4258

Unit cell a=3.7465 b=3.7465 c=3.9308 alpha=90.00 beta=90.00 gamma=90.00
Last column: nearest neighbours and their distance in Å.
Positions (direct):
O  0.0000  0.5000  0.0000  2 Fe 1.87
O  0.5000  0.0000  0.0000  2 Fe 1.87
Fe  0.0000  0.0000  0.0000  4 O 1.87, 2 N 1.97
Zr  0.5000  0.5000  0.5000  4 N 2.65, 8 O 2.72
N  0.0000  0.0000  0.5000  2 Fe 1.97